1.
Compound: PaS3O9
Source: Alexandria via LeMat-Bulk
Functional: PBE
Structure: optimized geometry

Results
* symmetry: Cc (9)

Geometry as POSCAR:
```
PaS3O9
1.0
7.246 -4.292 0.000
7.246 4.292 0.000
-6.015 0.000 7.784
Pa S O
2 6 18
direct
0.248 0.752 0.500
0.752 0.248 0.000
0.040 0.224 0.795
0.224 0.040 0.295
0.290 0.377 0.629
0.377 0.290 0.129
0.721 0.769 0.273
0.769 0.721 0.773
0.021 0.171 0.226
0.171 0.021 0.726
0.194 0.349 0.945
0.201 0.965 0.394
0.293 0.546 0.618
0.318 0.478 0.266
0.349 0.194 0.445
0.478 0.318 0.766
0.546 0.293 0.118
0.556 0.733 0.641
0.618 0.901 0.183
0.653 0.800 0.394
0.733 0.556 0.141
0.763 0.940 0.865
0.800 0.653 0.894
0.901 0.618 0.683
0.940 0.763 0.365
0.965 0.201 0.894
```

2.
Compound: Tm2UCuS6
Source: Alexandria via LeMat-Bulk
Functional: PBE
Structure: optimized geometry

Results
* symmetry: P4mm (99)

Geometry as POSCAR:
```
Tm2UCuS6
1.0
6.384 0.000 0.000
0.000 6.384 0.000
0.000 0.000 6.021
Tm U Cu S
2 1 1 6
direct
0.000 0.500 0.000
0.500 0.000 0.000
0.000 0.000 0.621
0.500 0.500 0.560
0.000 0.000 0.178
0.264 0.264 0.754
0.264 0.736 0.754
0.500 0.500 0.194
0.736 0.264 0.754
0.736 0.736 0.754
```

Across the entries above, uncorrected energy takes the values -6.785 -5.994 eV/atom, respectively.
Across the entries above, energy relative to the elements, uncorrected takes the values -1.669 -1.085 eV per atom, respectively.